## Ce2InSe5 (PBE)

Data for crystalline Ce2InSe5 at its relaxed geometry.

```
16
Lattice="2.813 -6.973 0.000 2.813 6.973 0.000 0.000 0.000 13.838" Properties=species:S:1:pos:R:3 pbc="T T T"
Ce 2.813 4.948 7.802
Ce 2.813 4.948 12.955
Ce 2.813 -4.948 0.883
Ce 2.813 -4.948 6.036
In 2.813 4.276 3.460
In 2.813 -4.276 10.379
Se 2.813 6.296 1.605
Se 2.813 6.296 5.314
Se 2.813 3.416 10.379
Se 2.813 2.646 1.029
Se 2.813 2.646 5.891
Se 2.813 -2.646 7.948
Se 2.813 -2.646 12.810
Se 2.813 -3.416 3.460
Se 2.813 -6.296 8.524
Se 2.813 -6.296 12.233
```

Values from the calculation:
formation energy (no corrections) = -1.23 eV per atom
DFT total energy = -5.23 eV/atom
space group = No. 63

## CeSmIn2Se4 (PBE)

Data for crystalline CeSmIn2Se4 at its relaxed geometry.

```
8
Lattice="7.404 0.000 0.000 0.000 4.277 0.000 -2.462 0.000 7.716" Properties=species:S:1:pos:R:3 pbc="T T T"
Ce 0.000 0.000 0.000
Sm 3.702 2.138 0.000
In -1.231 2.138 3.858
In 2.471 0.000 3.858
Se 1.254 2.138 1.648
Se 0.025 0.000 6.076
Se 4.917 0.000 1.641
Se 3.688 2.138 6.069
```

Values from the calculation:
formation energy (no corrections) = -1.26 eV per atom
DFT total energy = -5.02 eV/atom
space group = No. 10

## CeIn2SnSe4 (PBE)

Data for crystalline CeIn2SnSe4 at its relaxed geometry.

```
8
Lattice="7.490 0.000 0.000 0.000 4.271 0.000 -2.457 0.000 7.396" Properties=species:S:1:pos:R:3 pbc="T T T"
Ce 0.000 0.000 0.000
In -1.228 2.136 3.698
In 2.517 0.000 3.698
Sn 3.745 2.136 0.000
Se 1.179 2.136 1.606
Se -0.084 0.000 5.740
Se 5.117 0.000 1.656
Se 3.854 2.136 5.790
```

Values from the calculation:
formation energy (no corrections) = -0.83 eV per atom
DFT total energy = -4.50 eV/atom
space group = No. 10

## Sr2CeInSe5 (PBE)

Data for crystalline Sr2CeInSe5 at its relaxed geometry.

```
18
Lattice="2.146 -9.353 0.000 2.146 9.353 0.000 0.000 0.000 13.061" Properties=species:S:1:pos:R:3 pbc="T T T"
Sr 2.146 7.221 6.531
Sr 2.146 6.940 1.769
Sr 2.146 -6.940 8.299
Sr 2.146 -7.221 0.000
Ce 2.146 5.410 10.945
Ce 2.146 -5.410 4.414
In 2.146 0.895 3.447
In 2.146 -0.895 9.978
Se 2.146 8.457 11.517
Se 2.146 3.955 6.412
Se 2.146 3.448 2.366
Se 2.146 2.541 10.724
Se 2.146 0.112 7.629
Se 2.146 -0.112 1.099
Se 2.146 -2.541 4.194
Se 2.146 -3.448 8.897
Se 2.146 -3.955 12.942
Se 2.146 -8.457 4.986
```

Values from the calculation:
formation energy (no corrections) = -1.56 eV per atom
DFT total energy = -4.83 eV/atom
space group = No. 36

## SrCeIn2Se4 (PBE)

Data for crystalline SrCeIn2Se4 at its relaxed geometry.

```
8
Lattice="7.542 0.000 0.000 0.000 4.351 0.000 -2.491 0.000 7.519" Properties=species:S:1:pos:R:3 pbc="T T T"
Sr 0.000 0.000 0.000
Ce 3.771 2.175 0.000
In -1.246 2.175 3.760
In 2.525 0.000 3.760
Se 1.453 2.175 1.678
Se 0.172 0.000 5.883
Se 4.878 0.000 1.636
Se 3.598 2.175 5.841
```

Values from the calculation:
formation energy (no corrections) = -1.21 eV per atom
DFT total energy = -4.59 eV/atom
space group = No. 10

## TbCeIn2Se4 (PBE)

Data for crystalline TbCeIn2Se4 at its relaxed geometry.

```
8
Lattice="7.348 0.000 0.000 0.000 4.241 0.000 -2.436 0.000 7.722" Properties=species:S:1:pos:R:3 pbc="T T T"
Tb 0.000 0.000 0.000
Ce 3.674 2.120 0.000
In -1.218 2.120 3.861
In 2.456 0.000 3.861
Se 1.179 2.120 1.618
Se -0.038 0.000 6.081
Se 4.950 0.000 1.642
Se 3.733 2.120 6.104
```

Values from the calculation:
formation energy (no corrections) = -1.26 eV per atom
DFT total energy = -5.01 eV/atom
space group = No. 10

## Ce2Tl3InSe6 (PBE)

Data for crystalline Ce2Tl3InSe6 at its relaxed geometry.

```
12
Lattice="3.736 -6.476 0.000 3.736 6.476 0.000 -2.466 0.000 7.625" Properties=species:S:1:pos:R:3 pbc="T T T"
Ce 3.736 4.313 0.000
Ce 3.736 -4.313 0.000
Tl -1.233 0.000 3.813
Tl 2.503 2.145 3.813
Tl 2.503 -2.145 3.813
In 3.736 0.000 0.000
Se -0.005 2.208 6.035
Se 1.208 0.000 1.561
Se -0.005 -2.208 6.035
Se 5.011 2.208 1.590
Se 3.798 0.000 6.064
Se 5.011 -2.208 1.590
```

Values from the calculation:
formation energy (no corrections) = -1.04 eV per atom
DFT total energy = -4.59 eV/atom
space group = No. 12

## Ce3Tl4InSe8 (PBE)

Data for crystalline Ce3Tl4InSe8 at its relaxed geometry.

```
16
Lattice="4.326 2.498 7.656 -4.326 2.498 7.656 0.000 -4.995 7.656" Properties=species:S:1:pos:R:3 pbc="T T T"
Ce -2.163 -1.249 7.656
Ce -2.163 1.249 15.312
Ce 0.000 2.498 7.656
Tl -4.326 0.000 11.484
Tl -2.163 1.249 3.828
Tl 2.163 1.249 3.828
Tl 0.000 0.000 11.484
In 0.000 0.000 0.000
Se 0.000 -2.479 9.227
Se -2.147 1.240 9.227
Se 0.000 0.000 6.056
Se -2.147 -1.240 13.740
Se 2.147 1.240 9.227
Se 0.000 0.000 16.911
Se 2.147 -1.240 13.740
Se 0.000 2.479 13.740
```

Values from the calculation:
formation energy (no corrections) = -1.12 eV per atom
DFT total energy = -4.74 eV/atom
space group = No. 166

## CeInSi2 (PBE)

Data for crystalline CeInSi2 at its relaxed geometry.

```
4
Lattice="4.513 0.000 0.000 0.000 4.513 0.000 0.000 0.000 4.064" Properties=species:S:1:pos:R:3 pbc="T T T"
Ce 0.000 0.000 0.000
In 2.256 2.256 0.000
Si 0.000 2.256 2.032
Si 2.256 0.000 2.032
```

Values from the calculation:
formation energy (no corrections) = -0.31 eV per atom
DFT total energy = -5.19 eV/atom
space group = No. 123

## CeInSi (PBE)

Data for crystalline CeInSi at its relaxed geometry.

```
12
Lattice="4.363 0.000 0.000 0.000 17.435 0.000 0.000 0.000 3.791" Properties=species:S:1:pos:R:3 pbc="T T T"
Ce 0.000 1.582 0.948
Ce 0.000 15.852 2.843
Ce 2.181 7.135 2.843
Ce 2.181 10.300 0.948
In 0.000 5.012 0.948
In 0.000 12.423 2.843
In 2.181 3.706 2.843
In 2.181 13.729 0.948
Si 0.000 7.992 0.948
Si 0.000 9.442 2.843
Si 2.181 0.725 2.843
Si 2.181 16.710 0.948
```

Values from the calculation:
formation energy (no corrections) = -0.45 eV per atom
DFT total energy = -5.15 eV/atom
space group = No. 63

## Ce6InSi (PBE)

Data for crystalline Ce6InSi at its relaxed geometry.

```
8
Lattice="4.692 0.000 0.000 0.000 4.692 0.000 0.000 0.000 9.343" Properties=species:S:1:pos:R:3 pbc="T T T"
Ce 0.000 0.000 0.000
Ce 0.000 0.000 4.672
Ce 0.000 2.346 2.180
Ce 0.000 2.346 7.163
Ce 2.346 0.000 2.180
Ce 2.346 0.000 7.163
In 2.346 2.346 4.672
Si 2.346 2.346 0.000
```

Values from the calculation:
formation energy (no corrections) = -0.27 eV per atom
DFT total energy = -5.74 eV/atom
space group = No. 123

## CeInSi (PBE)

Data for crystalline CeInSi at its relaxed geometry.

```
3
Lattice="4.390 0.000 0.000 -2.195 3.802 0.000 0.000 0.000 4.447" Properties=species:S:1:pos:R:3 pbc="T T T"
Ce 0.000 0.000 0.000
In 2.195 1.267 2.468
Si 0.000 2.534 1.713
```

Values from the calculation:
formation energy (no corrections) = -0.35 eV per atom
DFT total energy = -5.05 eV/atom
space group = No. 156